# 1
Material: Zr2ReBr
Method: DFT, PBE
State: relaxed

Lattice parameters (Å, degrees): 5.818 5.818 5.818 140.80 140.80 56.65
Positions (direct):
Zr 0.000 0.000 0.000
Zr 0.750 0.250 0.500
Re 0.500 0.500 0.000
Br 0.250 0.750 0.500

Summary:
Uncorrected formation energy in eV/atom: 0.28
ρ in g/cm³: 9.54
Energy above the lowest structure with this stoichiometry in meV/atom: 741
Total moment in μB/atom: 0.0000

# 2
Material: ZrRe2Br
Method: DFT, PBE
State: relaxed

Lattice parameters (Å, degrees): 3.685 3.685 5.442 90.00 90.00 90.00
Positions (direct):
Zr 0.000 0.000 0.000
Re 0.000 0.500 0.500
Re 0.500 0.000 0.500
Br 0.500 0.500 0.000

Summary:
Uncorrected formation energy in eV/atom: 0.73
ρ in g/cm³: 12.21
Energy above the lowest structure with this stoichiometry in meV/atom: 306
Total moment in μB/atom: 0.0000